Al2MoRhN | PBE | optimized geometry

Unit cell a=4.961 b=4.598 c=4.961 alpha=90.00 beta=90.00 gamma=90.00
Last column: magnetic moment on the atom in μB.
Fractional coordinates of all 5 atoms:
Mo1 0.000 0.000 0.000  0.29
Rh1 0.000 0.500 0.000  -0.01
N1 0.500 0.500 0.500  1.51
Al1 0.500 0.000 0.000  0.00
Al2 0.000 0.000 0.500  -0.02

Calculated values
Theoretical density   3.9 g/cm3
E_tot   -24.79 eV/cell
DOS at the Fermi energy   0.84 states/eV/atom